Compound: MnTl2Ag
Source: Alexandria
Functional: PBE
Structure: optimized geometry

a = 4.291 Å, b = 4.291 Å, c = 9.591 Å
α = 90.00°, β = 90.00°, γ = 90.00°
Fractional positions:
Mn 0.000 0.000 0.000
Mn 0.500 0.500 0.500
Tl 0.000 0.000 0.500
Tl 0.000 0.500 0.750
Tl 0.500 0.000 0.250
Tl 0.500 0.500 0.000
Ag 0.000 0.500 0.250
Ag 0.500 0.000 0.750

ΔE_f: 0.3829 eV per atom
relative energy among the computed polymorphs: 0.0899 eV per atom
volume: 22.08 Å³ per atom
SG: I-4m2, No. 119
crystal system: tetragonal


Compound: MnTlAg4
Source: Alexandria
Functional: PBE
Structure: optimized geometry

a = 5.552 Å, b = 5.552 Å, c = 5.552 Å
α = 60.00°, β = 60.00°, γ = 60.00°
Fractional positions:
Mn 0.000 0.000 0.000
Tl 0.750 0.750 0.750
Ag 0.375 0.375 0.375
Ag 0.375 0.375 0.876
Ag 0.375 0.876 0.375
Ag 0.876 0.375 0.375

ΔE_f: 0.2764 eV per atom
volume: 20.17 Å³ per atom
SG: F-43m, No. 216
crystal system: cubic


Compound: MnTl2Ag
Source: Alexandria
Functional: PBE
Structure: optimized geometry

a = 6.830 Å, b = 6.830 Å, c = 6.830 Å
α = 90.00°, β = 90.00°, γ = 90.00°
Fractional positions:
Mn 0.000 0.000 0.000
Mn 0.000 0.500 0.500
Mn 0.500 0.000 0.500
Mn 0.500 0.500 0.000
Tl 0.250 0.250 0.250
Tl 0.250 0.250 0.750
Tl 0.250 0.750 0.250
Tl 0.250 0.750 0.750
Tl 0.750 0.250 0.250
Tl 0.750 0.250 0.750
Tl 0.750 0.750 0.250
Tl 0.750 0.750 0.750
Ag 0.000 0.000 0.500
Ag 0.000 0.500 0.000
Ag 0.500 0.000 0.000
Ag 0.500 0.500 0.500

ΔE_f: 0.7896 eV per atom
relative energy among the computed polymorphs: 0.4966 eV per atom
volume: 19.92 Å³ per atom
SG: Fm-3m, No. 225
crystal system: cubic


Compound: Mn2TlAg
Source: Alexandria
Functional: PBE
Structure: optimized geometry

a = 3.017 Å, b = 3.017 Å, c = 27.965 Å
α = 90.00°, β = 90.00°, γ = 120.00°
Fractional positions:
Mn 0.000 0.000 0.000
Mn 0.000 0.000 0.261
Mn 0.333 0.667 0.667
Mn 0.333 0.667 0.928
Mn 0.667 0.333 0.333
Mn 0.667 0.333 0.594
Tl 0.000 0.000 0.752
Tl 0.333 0.667 0.419
Tl 0.667 0.333 0.085
Ag 0.000 0.000 0.515
Ag 0.333 0.667 0.181
Ag 0.667 0.333 0.848

ΔE_f: 0.5093 eV per atom
volume: 18.37 Å³ per atom
SG: R3m, No. 160
crystal system: trigonal


Compound: Mn2TlAg
Source: Alexandria
Functional: PBE
Structure: optimized geometry

a = 4.037 Å, b = 4.037 Å, c = 8.866 Å
α = 90.00°, β = 90.00°, γ = 90.00°
Fractional positions:
Mn 0.000 0.000 0.000
Mn 0.000 0.500 0.250
Mn 0.500 0.000 0.750
Mn 0.500 0.500 0.500
Tl 0.000 0.500 0.750
Tl 0.500 0.000 0.250
Ag 0.000 0.000 0.500
Ag 0.500 0.500 0.000

ΔE_f: 0.4547 eV per atom
volume: 18.06 Å³ per atom
SG: I-4m2, No. 119
crystal system: tetragonal


Compound: Mn2TlAg
Source: Alexandria
Functional: PBE
Structure: optimized geometry

a = 9.394 Å, b = 3.074 Å, c = 5.217 Å
α = 90.00°, β = 101.20°, γ = 90.00°
Fractional positions:
Mn 0.247 0.000 0.236
Mn 0.253 0.500 0.764
Mn 0.747 0.500 0.236
Mn 0.753 0.000 0.764
Tl 0.000 0.000 0.500
Tl 0.500 0.500 0.500
Ag 0.000 0.500 0.000
Ag 0.500 0.000 0.000

ΔE_f: 0.4822 eV per atom
volume: 18.47 Å³ per atom
SG: C2/m, No. 12
crystal system: monoclinic


Compound: MnTlAg
Source: Alexandria
Functional: PBE
Structure: optimized geometry

a = 4.731 Å, b = 4.731 Å, c = 3.061 Å
α = 90.00°, β = 90.00°, γ = 120.00°
Fractional positions:
Mn 0.000 0.000 0.000
Tl 0.333 0.667 0.352
Ag 0.667 0.333 0.603

ΔE_f: 0.4117 eV per atom
relative energy among the computed polymorphs: 0.0476 eV per atom
volume: 19.78 Å³ per atom
SG: P3m1, No. 156
crystal system: trigonal


Compound: MnTl2Ag
Source: Alexandria
Functional: PBE
Structure: optimized geometry

a = 4.435 Å, b = 4.435 Å, c = 19.754 Å
α = 90.00°, β = 90.00°, γ = 90.00°
Fractional positions:
Mn 0.000 0.000 0.000
Mn 0.000 0.500 0.250
Mn 0.500 0.000 0.750
Mn 0.500 0.500 0.500
Tl 0.245 0.250 0.125
Tl 0.250 0.745 0.375
Tl 0.250 0.755 0.875
Tl 0.255 0.250 0.625
Tl 0.745 0.750 0.625
Tl 0.750 0.245 0.875
Tl 0.750 0.255 0.375
Tl 0.755 0.750 0.125
Ag 0.000 0.000 0.500
Ag 0.000 0.500 0.750
Ag 0.500 0.000 0.250
Ag 0.500 0.500 0.000

ΔE_f: 0.4801 eV per atom
relative energy among the computed polymorphs: 0.1872 eV per atom
volume: 24.29 Å³ per atom
SG: I-42d, No. 122
crystal system: tetragonal


Compound: Mn2TlAg
Source: Alexandria
Functional: PBE
Structure: optimized geometry

a = 4.285 Å, b = 4.285 Å, c = 3.886 Å
α = 90.00°, β = 90.00°, γ = 90.00°
Fractional positions:
Mn 0.000 0.500 0.000
Mn 0.500 0.000 0.000
Tl 0.000 0.000 0.500
Ag 0.500 0.500 0.500

ΔE_f: 0.4144 eV per atom
volume: 17.84 Å³ per atom
SG: P4/mmm, No. 123
crystal system: tetragonal


Compound: Mn2TlAg
Source: Alexandria
Functional: PBE
Structure: optimized geometry

a = 9.927 Å, b = 3.174 Å, c = 4.802 Å
α = 90.00°, β = 106.39°, γ = 90.00°
Fractional positions:
Mn 0.000 0.000 0.000
Mn 0.235 0.500 0.249
Mn 0.500 0.500 0.000
Mn 0.735 0.000 0.249
Tl 0.242 0.000 0.757
Tl 0.742 0.500 0.757
Ag 0.481 0.000 0.471
Ag 0.981 0.500 0.471

ΔE_f: 0.4393 eV per atom
volume: 18.15 Å³ per atom
SG: Cm, No. 8
crystal system: monoclinic


Compound: Mn2TlAg
Source: Alexandria
Functional: PBE
Structure: optimized geometry

a = 3.311 Å, b = 3.311 Å, c = 6.790 Å
α = 90.00°, β = 90.00°, γ = 90.00°
Fractional positions:
Mn 0.000 0.000 0.226
Mn 0.000 0.000 0.774
Tl 0.500 0.500 0.500
Ag 0.500 0.500 0.000

ΔE_f: 0.4153 eV per atom
volume: 18.61 Å³ per atom
SG: P4/mmm, No. 123
crystal system: tetragonal


Compound: Mn2TlAg
Source: Alexandria
Functional: PBE
Structure: optimized geometry

a = 3.242 Å, b = 4.652 Å, c = 9.561 Å
α = 90.00°, β = 90.00°, γ = 90.00°
Fractional positions:
Mn 0.000 0.000 0.000
Mn 0.000 0.500 0.266
Mn 0.500 0.000 0.766
Mn 0.500 0.500 0.500
Tl 0.000 0.500 0.760
Tl 0.500 0.000 0.260
Ag 0.000 0.000 0.522
Ag 0.500 0.500 0.022

ΔE_f: 0.4493 eV per atom
volume: 18.02 Å³ per atom
SG: Imm2, No. 44
crystal system: orthorhombic